(1)
The following is a PBE-GGA calculation of a geometry-optimized LaErTm6 structure, from the Alexandria database.

Unit cell a=7.0490 b=7.0490 c=4.9745 alpha=90.00 beta=90.00 gamma=90.00
Fractional positions:
La: 0.0000 0.0000 0.0000
Er: 0.5000 0.5000 0.0000
Tm: 0.0000 0.5000 0.0000
Tm: 0.2534 0.2534 0.5000
Tm: 0.2534 0.7466 0.5000
Tm: 0.5000 0.0000 0.0000
Tm: 0.7466 0.2534 0.5000
Tm: 0.7466 0.7466 0.5000

## Properties
- formation enthalpy at 0 K (meV per atom) = 32
- space group = P4/mmm
- M_tot (μB per cell) = 0.000
- offset from the most stable computed form (eV per formula unit) = 0.00
- total energy (eV/cell) = -36.061



(2)
The following is a PBE-GGA calculation of a geometry-optimized La2Er9Tm structure, from the Alexandria database.

Unit cell a=5.0160 b=5.0160 c=15.0836 alpha=90.00 beta=90.00 gamma=90.00
Fractional positions:
La: 0.0000 0.0000 0.1662
La: 0.0000 0.0000 0.8338
Er: 0.0000 0.5000 0.0000
Er: 0.0000 0.5000 0.3380
Er: 0.0000 0.5000 0.6620
Er: 0.5000 0.0000 0.0000
Er: 0.5000 0.0000 0.3380
Er: 0.5000 0.0000 0.6620
Er: 0.5000 0.5000 0.1693
Er: 0.5000 0.5000 0.5000
Er: 0.5000 0.5000 0.8307
Tm: 0.0000 0.0000 0.5000

## Properties
- formation enthalpy at 0 K (meV per atom) = 35
- space group = P4/mmm
- M_tot (μB per cell) = 0.000
- total energy (eV/cell) = -54.970